SrMn2V2O8 | PBE+U | optimized geometry

a b c (Å): 9.983 9.983 9.983
angles (deg): 101.35 101.35 127.33
Each line ends with the local moment (μB).
Fractional coordinates of all 52 atoms:
O  0.380  0.205  0.513  0.00
O  0.586  0.408  0.826  0.00
O  0.862  0.706  0.466  0.00
Mn  0.706  0.371  0.998  4.58
O  0.256  0.898  0.638  0.00
O  0.456  0.112  0.966  0.00
O  0.868  0.006  0.858  0.00
O  0.192  0.705  0.825  0.00
O  0.509  0.832  0.674  0.00
O  0.148  0.010  0.142  0.00
O  0.117  0.130  0.675  0.00
O  0.362  0.896  0.157  0.00
O  0.739  0.206  0.843  0.00
V  0.688  0.003  0.844  0.23
O  0.648  0.506  0.138  0.00
Mn  0.206  0.208  0.336  4.58
O  0.646  0.612  0.657  0.00
O  0.146  0.489  0.034  0.00
O  0.368  0.510  0.862  0.00
Mn  0.621  0.123  0.164  4.58
O  0.756  0.118  0.358  0.00
Mn  0.873  0.871  0.664  4.58
O  0.158  0.836  0.326  0.00
V  0.159  0.844  0.156  0.23
O  0.082  0.908  0.823  0.00
O  0.009  0.336  0.677  0.00
O  0.955  0.630  0.013  0.00
Mn  0.458  0.623  0.502  4.58
V  0.253  0.909  0.815  0.23
V  0.188  0.344  0.685  0.23
O  0.260  0.618  0.362  0.00
O  0.956  0.989  0.343  0.00
O  0.582  0.759  0.174  0.00
O  0.692  0.867  0.487  0.00
O  0.880  0.367  0.175  0.00
Mn  0.121  0.956  0.498  4.58
O  0.617  0.942  0.987  0.00
Sr  0.736  0.736  0.000  0.00
Mn  0.958  0.456  0.836  4.58
O  0.239  0.396  0.534  0.00
V  0.659  0.503  0.315  0.23
O  0.455  0.442  0.325  0.00
Sr  0.986  0.486  0.500  0.00
O  0.658  0.332  0.323  0.00
O  0.760  0.398  0.642  0.00
V  0.753  0.938  0.344  0.23
Sr  0.236  0.236  0.000  0.00
V  0.594  0.409  0.656  0.23
O  0.086  0.259  0.177  0.00
V  0.094  0.438  0.185  0.23
Sr  0.486  0.986  0.500  0.00
Mn  0.373  0.708  0.002  4.58

Calculated values
- symmetry = I4_1cd (110)
- energy (eV/cell) = -394.217